# 1
Here is a relaxed LiTmAu6 crystal from Alexandria via LeMat-Bulk. Energies are from PBE.

```
data_LiTmAu6
_cell_length_a 4.270
_cell_length_b 4.270
_cell_length_c 8.109
_cell_angle_alpha 90.00
_cell_angle_beta 90.00
_cell_angle_gamma 90.00
_space_group_name_H-M_alt 'P 1'
_space_group_IT_number 1
loop_
_space_group_symop_operation_xyz
'x,y,z'
loop_
_atom_site_label
_atom_site_type_symbol
_atom_site_fract_x
_atom_site_fract_y
_atom_site_fract_z
Li1 Li 0.000 0.000 0.000
Tm1 Tm 0.000 0.000 0.500
Au1 Au 0.000 0.500 0.239
Au2 Au 0.000 0.500 0.761
Au3 Au 0.500 0.000 0.239
Au4 Au 0.500 0.000 0.761
Au5 Au 0.500 0.500 0.000
Au6 Au 0.500 0.500 0.500
```

Results
spin magnetization	0.0	μB/f.u.
energy relative to the elements	-0.471	eV/atom
crystal system	tetragonal


# 2
Here is a relaxed BaLaNO crystal from Alexandria via LeMat-Bulk. Energies are from PBE.

```
data_BaLaNO
_cell_length_a 3.830
_cell_length_b 3.830
_cell_length_c 19.166
_cell_angle_alpha 90.00
_cell_angle_beta 90.00
_cell_angle_gamma 120.00
_space_group_name_H-M_alt 'P 1'
_space_group_IT_number 1
loop_
_space_group_symop_operation_xyz
'x,y,z'
loop_
_atom_site_label
_atom_site_type_symbol
_atom_site_fract_x
_atom_site_fract_y
_atom_site_fract_z
Ba1 Ba 0.000 0.000 0.000
Ba2 Ba 0.333 0.667 0.667
Ba3 Ba 0.667 0.333 0.333
La1 La 0.000 0.000 0.502
La2 La 0.333 0.667 0.169
La3 La 0.667 0.333 0.836
N1 N 0.000 0.000 0.230
N2 N 0.333 0.667 0.897
N3 N 0.667 0.333 0.564
O1 O 0.000 0.000 0.753
O2 O 0.333 0.667 0.420
O3 O 0.667 0.333 0.086
```

Results
spin magnetization	0.0	μB/f.u.
raw formation energy	-1855.0	meV/atom
crystal system	trigonal


# 3
Here is a relaxed Th7GeSe5 crystal from Alexandria via LeMat-Bulk. Energies are from PBE.

```
data_Th7GeSe5
_cell_length_a 4.202
_cell_length_b 25.091
_cell_length_c 7.088
_cell_angle_alpha 90.00
_cell_angle_beta 107.19
_cell_angle_gamma 90.00
_space_group_name_H-M_alt 'P 1'
_space_group_IT_number 1
loop_
_space_group_symop_operation_xyz
'x,y,z'
loop_
_atom_site_label
_atom_site_type_symbol
_atom_site_fract_x
_atom_site_fract_y
_atom_site_fract_z
Th1 Th 0.027 0.000 0.052
Th2 Th 0.139 0.287 0.278
Th3 Th 0.139 0.713 0.278
Th4 Th 0.304 0.070 0.608
Th5 Th 0.304 0.930 0.608
Th6 Th 0.410 0.365 0.820
Th7 Th 0.410 0.635 0.820
Th8 Th 0.590 0.135 0.180
Th9 Th 0.590 0.865 0.180
Th10 Th 0.696 0.430 0.392
Th11 Th 0.696 0.570 0.392
Th12 Th 0.861 0.213 0.722
Th13 Th 0.861 0.787 0.722
Th14 Th 0.973 0.500 0.948
Ge1 Ge 0.310 0.500 0.621
Ge2 Ge 0.690 0.000 0.379
Se1 Se 0.055 0.394 0.111
Se2 Se 0.056 0.606 0.111
Se3 Se 0.221 0.178 0.442
Se4 Se 0.221 0.822 0.442
Se5 Se 0.500 0.250 0.000
Se6 Se 0.500 0.750 0.000
Se7 Se 0.779 0.322 0.558
Se8 Se 0.779 0.678 0.558
Se9 Se 0.944 0.106 0.889
Se10 Se 0.945 0.894 0.889
```

Results
spin magnetization	0.0	μB/f.u.
raw formation energy	-1250.7	meV/atom
crystal system	monoclinic


no.,calculated volume (Å³ per atom),total energy (eV per formula unit)
1,18.48,-29.8
2,20.29,-27.6
3,27.46,-90.2